Record 1
DFT (PBE) results for a geometry-optimized TaAg2Pb structure.

Properties
Energy of formation from the pure elements   0.354 eV/atom
Total moment   0.00 μB/cell
Energy   -4.9615 eV per atom

```
data_TaAg2Pb
_cell_length_a 10.308
_cell_length_b 10.308
_cell_length_c 10.308
_cell_angle_alpha 17.18
_cell_angle_beta 17.18
_cell_angle_gamma 17.18
_space_group_name_H-M_alt 'P 1'
_space_group_IT_number 1
_space_group_name_Hall 'P 1'
loop_
_atom_site_label
_atom_site_type_symbol
_atom_site_fract_x
_atom_site_fract_y
_atom_site_fract_z
Pb1 Pb 0.250 0.250 0.250
Ag1 Ag 0.006 0.006 0.006
Ag2 Ag 0.494 0.494 0.494
Ta1 Ta 0.750 0.750 0.750
```

---

Record 2
DFT (PBE) results for a geometry-optimized Ta4AgPb structure.

Properties
Energy of formation from the pure elements   0.597 eV/atom
Total moment   0.00 μB/cell
Energy   -8.3979 eV per atom

```
data_Ta4AgPb
_cell_length_a 5.571
_cell_length_b 5.571
_cell_length_c 5.571
_cell_angle_alpha 60.00
_cell_angle_beta 60.00
_cell_angle_gamma 60.00
_space_group_name_H-M_alt 'P 1'
_space_group_IT_number 1
_space_group_name_Hall 'P 1'
loop_
_atom_site_label
_atom_site_type_symbol
_atom_site_fract_x
_atom_site_fract_y
_atom_site_fract_z
Ta1 Ta 0.874 0.375 0.375
Ta2 Ta 0.375 0.375 0.874
Ta3 Ta 0.375 0.874 0.375
Ta4 Ta 0.375 0.375 0.375
Ag1 Ag 0.750 0.750 0.750
Pb1 Pb 0.000 0.000 0.000
```

---

Record 3
DFT (PBE) results for a geometry-optimized TaAgPb structure.

Properties
Energy of formation from the pure elements   1.054 eV/atom
Total moment   1.46 μB/cell
Energy   -5.0836 eV per atom

```
data_TaAgPb
_cell_length_a 4.635
_cell_length_b 4.635
_cell_length_c 4.635
_cell_angle_alpha 60.00
_cell_angle_beta 60.00
_cell_angle_gamma 60.00
_space_group_name_H-M_alt 'P 1'
_space_group_IT_number 1
_space_group_name_Hall 'P 1'
loop_
_atom_site_label
_atom_site_type_symbol
_atom_site_fract_x
_atom_site_fract_y
_atom_site_fract_z
Pb1 Pb 0.000 0.000 0.000
Ag1 Ag 0.750 0.750 0.750
Ta1 Ta 0.500 0.500 0.500
```

---

Record 4
DFT (PBE) results for a geometry-optimized TaAgPb structure.

Properties
Energy of formation from the pure elements   0.597 eV/atom
Total moment   0.00 μB/cell
Energy   -5.5409 eV per atom

```
data_TaAgPb
_cell_length_a 5.737
_cell_length_b 5.737
_cell_length_c 5.737
_cell_angle_alpha 149.58
_cell_angle_beta 138.36
_cell_angle_gamma 52.43
_space_group_name_H-M_alt 'P 1'
_space_group_IT_number 1
_space_group_name_Hall 'P 1'
loop_
_atom_site_label
_atom_site_type_symbol
_atom_site_fract_x
_atom_site_fract_y
_atom_site_fract_z
Pb1 Pb 0.336 0.336 0.000
Ag1 Ag 0.012 0.012 0.000
Ta1 Ta 0.651 0.651 0.000
```